Record 1
First-principles (GGA-PBE) data for ScSi2Rh after structural relaxation, as listed in Alexandria.

Cell lengths 3.9289, 3.9302, 3.8771 Å; angles 90.00, 90.00, 90.00 degrees
Closest atoms and distances in Å follow each position.
Fractional positions:
Rh 0.5000 0.0000 0.5000  8 Si 2.76, 4 Sc 2.78
Sc 0.0000 0.5000 0.5000  8 Si 2.76, 4 Rh 2.78
Si 0.0000 0.0000 0.0000  4 Rh 2.76, 4 Sc 2.76, 4 Si 2.78
Si 0.5000 0.5000 0.0000  4 Sc 2.76, 4 Rh 2.76, 4 Si 2.78

Properties
Formation energy (no corrections) (eV/atom): -0.6135
Energy (eV/atom): -6.746
SG: No. 123



Record 2
First-principles (GGA-PBE) data for KNa2Np2O7 after structural relaxation, as listed in Alexandria.

Cell lengths 4.3022, 4.3034, 10.3672 Å; angles 101.98, 101.98, 90.01 degrees
Closest atoms and distances in Å follow each position.
Fractional positions:
K 0.0000 0.0000 0.0000  12 O 3.01-3.04
Na 0.2501 0.7502 0.5003  4 O 2.31
Na 0.7499 0.2498 0.4997  4 O 2.31
Np 0.3926 0.3925 0.7851  6 O 1.99-2.15
Np 0.6074 0.6074 0.2149  6 O 1.99-2.15
O 0.3939 0.8938 0.7877  2 Np 2.15
O 0.7078 0.7077 0.4156  1 Np 1.99
O 0.1061 0.6061 0.2122  2 Np 2.15
O 0.6061 0.1061 0.2123  2 Np 2.15
O 0.2922 0.2922 0.5844  1 Np 1.99
O 0.8939 0.3939 0.7878  2 Np 2.15
O 0.5000 0.5000 0.0000  2 Np 2.13

Properties
Formation energy (no corrections) (eV/atom): -2.5253
Energy (eV/atom): -7.886
SG: No. 139



Record 3
First-principles (GGA-PBE) data for Mg2H2O3 after structural relaxation, as listed in Alexandria.

Cell lengths 3.0990, 3.0990, 7.5368 Å; angles 90.00, 90.00, 120.00 degrees
Closest atoms and distances in Å follow each position.
Fractional positions:
H 0.3333 0.6667 0.5688  1 O 0.97
H 0.6667 0.3333 0.4312  1 O 0.97
Mg 0.6667 0.3333 0.8371  6 O 2.08-2.17
Mg 0.3333 0.6667 0.1629  6 O 2.08-2.17
O 0.3333 0.6667 0.6973  1 H 0.97
O 0.6667 0.3333 0.3027  1 H 0.97
O 0.0000 0.0000 0.0000  6 Mg 2.17

Properties
Energy (eV/atom): -5.538
SG: No. 164